15
Lattice="3.859 2.228 6.747 -3.859 2.228 6.747 0.000 -4.456 6.747" Properties=species:S:1:pos:R:3 comment="Na3Ho3MnS8 (PBE, optimized geometry)" total_energy_ev_per_atom=-5.52 pbc="T T T"
Na -1.930 -1.114 6.747
Na -1.929 1.114 13.495
Na 0.000 2.228 6.747
Ho -3.859 0.000 10.121
Ho -1.929 1.114 3.374
Ho 1.930 1.114 3.374
Mn 0.000 0.000 10.121
S 0.000 0.000 4.906
S -1.731 -0.999 11.519
S 0.000 -1.998 8.723
S -1.731 0.999 8.723
S 1.731 -0.999 11.519
S 0.000 1.998 11.519
S 1.731 0.999 8.723
S 0.000 0.000 15.336